Hf2ZnCuN | PBE | relaxed

abc: 3.386 3.386 12.717
angles: 90.00 90.00 90.00
Fractional positions:
Hf (0.250, 0.250, 0.084)
Hf (0.250, 0.250, 0.746)
Hf (0.750, 0.750, 0.254)
Hf (0.750, 0.750, 0.916)
Zn (0.250, 0.250, 0.357)
Zn (0.750, 0.750, 0.643)
Cu (0.250, 0.750, 0.500)
Cu (0.750, 0.250, 0.500)
N (0.250, 0.250, 0.914)
N (0.750, 0.750, 0.086)

## Properties
- M_tot: 0.00 μB per formula unit
- Raw formation energy: -673 meV/atom

---

B2Pt3Rh | PBE | relaxed

abc: 6.545 6.545 8.319
angles: 115.52 115.52 29.39
Fractional positions:
B (0.116, 0.116, 0.392)
B (0.374, 0.374, 0.136)
B (0.626, 0.626, 0.864)
B (0.884, 0.884, 0.608)
Pt (0.184, 0.184, 0.059)
Pt (0.306, 0.306, 0.429)
Pt (0.439, 0.439, 0.808)
Pt (0.561, 0.561, 0.192)
Pt (0.694, 0.694, 0.571)
Pt (0.816, 0.816, 0.941)
Rh (0.065, 0.065, 0.688)
Rh (0.935, 0.935, 0.312)

## Properties
- M_tot: 0.00 μB per formula unit
- ΔE_f: -273 meV/atom

---

In2BiIrBr | PBE | relaxed

abc: 5.243 5.243 5.309
angles: 90.00 90.00 90.00
Fractional positions:
In (0.000, 0.500, 0.000)
In (0.500, 0.000, 0.000)
Bi (0.000, 0.000, 0.500)
Ir (0.000, 0.000, 0.000)
Br (0.500, 0.500, 0.500)

## Properties
- M_tot: 0.00 μB per formula unit
- Raw formation energy: -182 meV/atom

---

CaAlZn6 | PBE | relaxed

abc: 4.198 4.198 8.545
angles: 90.00 90.00 90.00
Fractional positions:
Ca (0.000, 0.000, 0.000)
Al (0.000, 0.000, 0.500)
Zn (0.000, 0.500, 0.319)
Zn (0.000, 0.500, 0.681)
Zn (0.500, 0.000, 0.319)
Zn (0.500, 0.000, 0.681)
Zn (0.500, 0.500, 0.145)
Zn (0.500, 0.500, 0.855)

## Properties
- M_tot: 0.00 μB per formula unit
- ΔE_f: -107 meV/atom